Entry from Alexandria via LeMat-Bulk: a relaxed structure of Ga2Co4N (PBE).

Unit cell a=6.697 b=6.697 c=6.697 alpha=148.07 beta=148.07 gamma=45.77
Atoms (fractional coordinates):
Ga1 0.150 0.150 0.000
Ga2 0.850 0.850 0.000
Co1 0.000 0.500 0.500
Co2 0.345 0.345 0.000
Co3 0.500 0.000 0.500
Co4 0.655 0.655 0.000
N1 0.500 0.500 0.000

Computed properties:
Total moment ... 3.50 Bohr magnetons per cell
Raw formation energy ... 0.000 eV/atom
Calculated density ... 7.72 g/cm³
SG ... I4/mmm, No. 139